Below is crystalline Sm4HoEr2Tm2 at its relaxed geometry, with properties calculated at the GGA-PBE level.

a b c (Å): 7.959 7.959 7.963
angles (deg): 107.41 107.41 36.77
Atoms (fractional coordinates):
Sm 0.054 0.054 0.331
Sm 0.277 0.277 0.668
Sm 0.723 0.723 0.332
Sm 0.946 0.946 0.669
Ho 0.500 0.500 0.000
Er 0.389 0.389 0.331
Er 0.611 0.611 0.669
Tm 0.167 0.167 0.000
Tm 0.833 0.833 0.000

Calculated values
The formation energy is 22 meV/atom. The spin magnetization is 0.00 μB per cell. For the density of states at the Fermi level, the calculation gives 12.55 states/eV/f.u. The electronic total energy is -4.59 eV/atom.